## GaBr2O (GGA-PBE)

Data for GaBr2O after structural relaxation.

For the density of states at the Fermi level, the calculation gives 18.6 states/eV per cell. The volume is 317.5 Å³/cell. The value obtained for the total DFT energy (no corrections) is -2.40 eV/atom. The polymorph energy (0 for the lowest one) comes out at 0.308 eV/atom. The value obtained for the formation energy (no corrections) is 0.44 eV/atom.

The space group is Fm-3m (No. 225) and the conventional cell measures 6.822, 6.822 and 6.822 Å, with angles of 90.00, 90.00 and 90.00 degrees. The inequivalent atoms are Ga at (0.000, 0.000, 0.000), Br at (0.250, 0.250, 0.250) and O at (0.000, 0.000, 0.500).